Compound: Tb6Pd5Ru
Source: the Alexandria database
Functional: PBE-GGA
Structure: relaxed

Calculated values
**Formation energy**: -0.7938 eV per atom

Cell lengths 4.980, 6.965, 7.855 Å; angles 90.00, 71.52, 90.00 degrees
Fractional coordinates of all 12 atoms:
1 Pd 0.333 0.000 0.334
2 Pd 0.667 0.000 0.666
3 Pd 0.668 0.500 0.664
4 Pd 0.332 0.500 0.336
5 Pd 0.000 0.500 0.000
6 Tb 0.163 0.246 0.674
7 Tb 0.837 0.246 0.326
8 Tb 0.500 0.756 0.000
9 Tb 0.837 0.754 0.326
10 Tb 0.163 0.754 0.674
11 Tb 0.500 0.244 0.000
12 Ru 0.000 0.000 0.000

***

Compound: LiCaLa2Ru
Source: the Alexandria database
Functional: PBE-GGA
Structure: relaxed

Calculated values
**Excess energy over the best structure of this formula in the dataset**: 67 meV/atom
**Formation energy**: -0.0191 eV per atom

Cell lengths 5.367, 5.367, 5.616 Å; angles 90.00, 90.00, 90.00 degrees
Fractional coordinates of all 5 atoms:
1 Li 0.000 0.000 0.500
2 Ca 0.500 0.500 0.500
3 La 0.500 0.000 0.000
4 La 0.000 0.500 0.000
5 Ru 0.000 0.000 0.000

***

Compound: SnBSb3
Source: the Alexandria database
Functional: PBE-GGA
Structure: relaxed

Calculated values
**Excess energy over the best structure of this formula in the dataset**: 0 meV/atom
**E_form (uncorrected)**: 637.3 meV/atom

Cell lengths 4.931, 4.931, 4.931 Å; angles 90.00, 90.00, 90.00 degrees
Fractional coordinates of all 5 atoms:
1 Sb 0.500 0.000 0.000
2 Sb 0.000 0.000 0.500
3 Sb 0.000 0.500 0.000
4 Sn 0.500 0.500 0.500
5 B 0.000 0.000 0.000

***

Compound: DyPaTlPb
Source: the Alexandria database
Functional: PBE-GGA
Structure: relaxed

Calculated values
**Formation energy**: 0.0051 eV per atom

Cell lengths 5.398, 5.398, 5.398 Å; angles 60.00, 60.00, 60.00 degrees
Fractional coordinates of all 4 atoms:
1 Tl 0.000 0.000 0.000
2 Pb 0.500 0.500 0.500
3 Dy 0.250 0.250 0.250
4 Pa 0.750 0.750 0.750

***

Compound: UCoNi4
Source: the Alexandria database
Functional: PBE-GGA
Structure: relaxed

Calculated values
**Formation energy**: 0.0948 eV per atom

Cell lengths 4.560, 4.560, 8.045 Å; angles 90.00, 90.00, 90.00 degrees
Fractional coordinates of all 12 atoms:
1 Ni 0.759 0.460 0.604
2 Ni 0.460 0.241 0.396
3 Ni 0.241 0.540 0.604
4 Ni 0.241 0.460 0.896
5 Ni 0.759 0.540 0.896
6 Ni 0.460 0.759 0.104
7 Ni 0.540 0.759 0.396
8 Ni 0.540 0.241 0.104
9 U 0.000 0.500 0.250
10 U 0.500 0.000 0.750
11 Co 0.000 0.000 0.500
12 Co 0.000 0.000 0.000

***

Compound: Mg2P2Pt
Source: the Alexandria database
Functional: PBE-GGA
Structure: relaxed

Calculated values
**Excess energy over the best structure of this formula in the dataset**: 67 meV/atom
**Formation energy**: -0.3498 eV per atom

Cell lengths 3.343, 3.343, 7.954 Å; angles 77.87, 77.87, 90.00 degrees
Fractional coordinates of all 5 atoms:
1 Mg 0.598 0.598 0.804
2 Mg 0.402 0.402 0.196
3 Pt 0.000 0.000 0.000
4 P 0.250 0.750 0.500
5 P 0.750 0.250 0.500

***

Compound: CuTcRh2
Source: the Alexandria database
Functional: PBE-GGA
Structure: relaxed

Calculated values
**Excess energy over the best structure of this formula in the dataset**: 104 meV/atom
**Formation energy**: 0.0381 eV per atom

Cell lengths 3.870, 2.716, 5.924 Å; angles 62.69, 90.00, 90.00 degrees
Fractional coordinates of all 4 atoms:
1 Rh 0.000 0.019 0.980
2 Rh 0.500 0.234 0.265
3 Tc 0.000 0.501 0.499
4 Cu 0.500 0.745 0.756

***

Compound: LaDyGe
Source: the Alexandria database
Functional: PBE-GGA
Structure: relaxed

Calculated values
**Excess energy over the best structure of this formula in the dataset**: 0 meV/atom
**Formation energy**: -0.5446 eV per atom

Cell lengths 4.260, 5.946, 8.490 Å; angles 120.80, 89.99, 110.98 degrees
Fractional coordinates of all 6 atoms:
1 La 0.167 0.334 0.569
2 La 0.833 0.666 0.431
3 Ge 0.871 0.743 0.848
4 Ge 0.129 0.257 0.152
5 Dy 0.586 0.171 0.868
6 Dy 0.414 0.829 0.132